Density functional theory data (PBE) for crystalline Ti2AlPt5Rh at its relaxed geometry.

Properties
Formation energy in kJ/mol of formula units: -236.4
Space group: I4/mcm (140)
Calculated total energy in hartree per atom: -0.2431

Cell lengths 7.517, 7.517, 7.517 Å; angles 120.41, 120.41, 89.30 degrees
Positions (direct):
Ti 0.109 0.609 0.718
Ti 0.391 0.109 0.500
Ti 0.609 0.891 0.500
Ti 0.891 0.391 0.282
Al 0.250 0.250 0.000
Al 0.750 0.750 0.000
Pt 0.000 0.000 0.000
Pt 0.078 0.161 0.500
Pt 0.161 0.661 0.083
Pt 0.339 0.422 0.500
Pt 0.422 0.922 0.083
Pt 0.500 0.500 0.000
Pt 0.578 0.078 0.917
Pt 0.661 0.578 0.500
Pt 0.839 0.339 0.917
Pt 0.922 0.839 0.500
Rh 0.250 0.750 0.500
Rh 0.750 0.250 0.500